CaSiTe2 after structural relaxation, computed with PBE.

a = 5.891 Å, b = 5.351 Å, c = 4.894 Å
α = 73.16°, β = 72.28°, γ = 114.28°
Fractional coordinates of all 4 atoms:
Te: 0.000 0.000 0.000
Te: 0.500 0.000 0.500
Ca: 0.000 0.500 0.500
Si: 0.500 0.500 0.000

Summary:
The relative energy among the computed polymorphs is 376 meV per atom.


CaSi2Te4 after structural relaxation, computed with PBE.

a = 5.931 Å, b = 5.931 Å, c = 8.025 Å
α = 68.32°, β = 68.32°, γ = 90.00°
Fractional coordinates of all 7 atoms:
Te: 0.500 0.000 0.000
Te: 0.758 0.758 0.485
Si: 0.584 0.584 0.831
Te: 0.000 0.500 0.000
Ca: 0.000 0.000 0.000
Te: 0.242 0.242 0.515
Si: 0.416 0.416 0.169


CaSiTe2 after structural relaxation, computed with PBE.

a = 7.999 Å, b = 7.999 Å, c = 7.999 Å
α = 30.60°, β = 30.60°, γ = 30.60°
Fractional coordinates of all 4 atoms:
Te: 0.245 0.245 0.245
Ca: 0.499 0.499 0.499
Te: 0.015 0.015 0.015
Si: 0.741 0.741 0.741

Summary:
The relative energy among the computed polymorphs is 314 meV per atom.


CaSi2Te after structural relaxation, computed with PBE.

a = 3.768 Å, b = 3.956 Å, c = 6.201 Å
α = 90.00°, β = 90.00°, γ = 90.00°
Fractional coordinates of all 4 atoms:
Ca: 0.500 0.500 0.740
Si: 0.500 0.500 0.205
Te: 0.000 0.000 0.494
Si: 0.000 0.000 0.061

Summary:
The relative energy among the computed polymorphs is 219 meV per atom.


CaSi2Te after structural relaxation, computed with PBE.

a = 4.133 Å, b = 4.351 Å, c = 5.951 Å
α = 75.68°, β = 90.00°, γ = 90.00°
Fractional coordinates of all 4 atoms:
Si: 0.000 0.149 0.945
Si: 0.000 0.351 0.555
Ca: 0.500 0.750 0.750
Te: 0.500 0.250 0.250

Summary:
The relative energy among the computed polymorphs is 197 meV per atom.


CaSiTe2 after structural relaxation, computed with PBE.

a = 3.852 Å, b = 4.083 Å, c = 7.587 Å
α = 87.61°, β = 90.00°, γ = 90.00°
Fractional coordinates of all 4 atoms:
Ca: 0.500 0.250 0.250
Te: 0.000 0.735 0.485
Si: 0.500 0.750 0.750
Te: 0.000 0.765 0.015

Summary:
The relative energy among the computed polymorphs is 255 meV per atom.


Energy relative to the elements, uncorrected in eV/atom, matching the order above: -0.29 0.05 -0.36 -0.03 -0.05 -0.42
Total magnetic moment in μB per formula unit, matching the order above: 0.00 0.00 0.00 0.00 0.00 0.00